No. 1
Density functional theory data (GGA-PBE) for an optimized crystal structure of PmBiIr.

a = 5.834 Å, b = 4.196 Å, c = 9.016 Å
α = 94.50°, β = 90.00°, γ = 134.04°
Positions (direct):
Pm1 0.665 0.330 0.179
Ir1 0.872 0.744 0.876
Bi1 0.241 0.483 0.428
Bi2 0.759 0.517 0.572
Pm2 0.335 0.670 0.821
Ir2 0.128 0.256 0.124

Summary:
The calculation puts the calculated formation energy at -0.41 eV/atom. For the total magnetic moment, the calculation gives 0.00 μB/f.u. The calculation puts the energy above the most stable polymorph in this dataset at 0.49 eV/f.u.

***

No. 2
Density functional theory data (GGA-PBE) for an optimized crystal structure of Pm3Bi2Ir.

a = 6.427 Å, b = 8.656 Å, c = 7.750 Å
α = 106.21°, β = 114.50°, γ = 90.00°
Positions (direct):
Ir1 0.963 0.250 0.000
Bi1 0.329 0.414 0.658
Pm1 0.147 0.073 0.292
Pm2 0.146 0.573 0.292
Bi2 0.671 0.586 0.342
Bi3 0.328 0.914 0.658
Pm3 0.399 0.250 0.000
Pm4 0.853 0.927 0.708
Ir2 0.037 0.750 0.000
Bi4 0.672 0.086 0.342
Pm5 0.854 0.427 0.708
Pm6 0.601 0.750 0.000

Summary:
The calculation puts the calculated formation energy at -0.68 eV/atom. For the total magnetic moment, the calculation gives 0.00 μB/f.u.

***

No. 3
Density functional theory data (GGA-PBE) for an optimized crystal structure of Pm5Bi2Ir.

a = 6.013 Å, b = 5.824 Å, c = 16.622 Å
α = 90.00°, β = 90.00°, γ = 121.08°
Positions (direct):
Pm1 0.572 0.144 0.604
Ir1 0.706 0.413 0.750
Bi1 0.766 0.532 0.058
Pm2 0.428 0.856 0.104
Pm3 0.572 0.144 0.896
Pm4 0.093 0.187 0.369
Ir2 0.294 0.587 0.250
Pm5 0.757 0.513 0.250
Pm6 0.093 0.187 0.131
Bi2 0.234 0.468 0.942
Pm7 0.907 0.813 0.869
Pm8 0.243 0.487 0.750
Pm9 0.907 0.813 0.631
Pm10 0.428 0.856 0.396
Bi3 0.234 0.468 0.558
Bi4 0.766 0.532 0.442

Summary:
The calculation puts the calculated formation energy at -0.44 eV/atom. For the total magnetic moment, the calculation gives 0.00 μB/f.u.

***

No. 4
Density functional theory data (GGA-PBE) for an optimized crystal structure of Pm6Bi2Ir.

a = 4.188 Å, b = 8.662 Å, c = 8.662 Å
α = 120.00°, β = 90.00°, γ = 90.00°
Positions (direct):
Bi1 0.000 0.333 0.667
Pm1 0.000 0.762 0.762
Ir1 0.500 0.000 0.000
Pm2 0.000 0.238 0.000
Pm3 0.500 0.000 0.600
Pm4 0.500 0.400 0.400
Pm5 0.000 0.000 0.238
Bi2 0.000 0.667 0.333
Pm6 0.500 0.600 0.000

Summary:
The calculation puts the calculated formation energy at -0.63 eV/atom. For the total magnetic moment, the calculation gives 0.00 μB/f.u.

***

No. 5
Density functional theory data (GGA-PBE) for an optimized crystal structure of Pm5BiIr2.

a = 8.049 Å, b = 8.049 Å, c = 8.963 Å
α = 116.68°, β = 116.68°, γ = 90.00°
Positions (direct):
Ir1 0.640 0.140 0.000
Pm1 0.211 0.025 0.736
Ir2 0.860 0.640 0.000
Ir3 0.140 0.360 0.000
Bi1 0.250 0.250 0.500
Pm2 0.975 0.475 0.264
Bi2 0.750 0.750 0.500
Pm3 0.289 0.789 0.264
Pm4 0.500 0.500 0.000
Pm5 0.025 0.525 0.736
Pm6 0.475 0.289 0.264
Pm7 0.000 0.000 0.000
Ir4 0.360 0.860 0.000
Pm8 0.789 0.975 0.264
Pm9 0.525 0.711 0.736
Pm10 0.711 0.211 0.736

Summary:
The calculation puts the calculated formation energy at -0.69 eV/atom. For the total magnetic moment, the calculation gives 0.00 μB/f.u.

***

No. 6
Density functional theory data (GGA-PBE) for an optimized crystal structure of Pm5Bi2Ir2.

a = 7.946 Å, b = 8.170 Å, c = 8.955 Å
α = 117.14°, β = 90.00°, γ = 90.00°
Positions (direct):
Bi1 0.000 0.790 0.580
Pm1 0.662 0.287 0.236
Ir1 0.870 0.368 0.000
Pm2 0.338 0.713 0.764
Bi2 0.000 0.210 0.420
Pm3 0.838 0.551 0.764
Pm4 0.162 0.213 0.764
Ir2 0.630 0.868 0.000
Pm5 0.662 0.051 0.764
Bi3 0.500 0.290 0.580
Pm6 0.000 0.000 0.000
Pm7 0.338 0.949 0.236
Pm8 0.162 0.449 0.236
Ir3 0.130 0.632 0.000
Pm9 0.500 0.500 0.000
Bi4 0.500 0.710 0.420
Ir4 0.370 0.132 0.000
Pm10 0.838 0.787 0.236

Summary:
The calculation puts the calculated formation energy at -0.73 eV/atom. For the total magnetic moment, the calculation gives 0.00 μB/f.u.

***

No. 7
Density functional theory data (GGA-PBE) for an optimized crystal structure of PmBiIr.

a = 3.940 Å, b = 3.940 Å, c = 5.663 Å
α = 110.36°, β = 110.36°, γ = 90.00°
Positions (direct):
Bi1 0.958 0.958 0.916
Ir1 0.249 0.249 0.497
Pm1 0.644 0.644 0.287

Summary:
The calculation puts the calculated formation energy at -0.18 eV/atom. For the total magnetic moment, the calculation gives 0.00 μB/f.u. The calculation puts the energy above the most stable polymorph in this dataset at 1.16 eV/f.u.

***

No. 8
Density functional theory data (GGA-PBE) for an optimized crystal structure of PmBiIr.

a = 4.813 Å, b = 4.813 Å, c = 4.813 Å
α = 60.00°, β = 60.00°, γ = 60.00°
Positions (direct):
Bi1 0.000 0.000 0.000
Pm1 0.500 0.500 0.500
Ir1 0.250 0.250 0.250

Summary:
The calculation puts the calculated formation energy at -0.57 eV/atom. For the total magnetic moment, the calculation gives 0.00 μB/f.u. The calculation puts the energy above the most stable polymorph in this dataset at 0.00 eV/f.u.

***

No. 9
Density functional theory data (GGA-PBE) for an optimized crystal structure of PmBiIr2.

a = 3.987 Å, b = 4.555 Å, c = 4.555 Å
α = 90.00°, β = 90.00°, γ = 90.00°
Positions (direct):
Ir1 0.000 0.500 0.000
Bi1 0.500 0.000 0.000
Pm1 0.500 0.500 0.500
Ir2 0.000 0.000 0.500

Summary:
The calculation puts the calculated formation energy at -0.19 eV/atom. For the total magnetic moment, the calculation gives 0.00 μB/f.u.

***

No. 10
Density functional theory data (GGA-PBE) for an optimized crystal structure of PmBiIr.

a = 3.635 Å, b = 4.779 Å, c = 4.779 Å
α = 120.00°, β = 90.00°, γ = 90.00°
Positions (direct):
Pm1 0.333 0.667 0.333
Ir1 0.833 0.000 0.000
Bi1 0.833 0.333 0.667

Summary:
The calculation puts the calculated formation energy at -0.45 eV/atom. For the total magnetic moment, the calculation gives 0.00 μB/f.u. The calculation puts the energy above the most stable polymorph in this dataset at 0.34 eV/f.u.

***

No. 11
Density functional theory data (GGA-PBE) for an optimized crystal structure of PmBiIrPt.

a = 4.964 Å, b = 4.964 Å, c = 4.964 Å
α = 60.00°, β = 60.00°, γ = 60.00°
Positions (direct):
Ir1 0.750 0.750 0.750
Pm1 0.000 0.000 0.000
Bi1 0.500 0.500 0.500
Pt1 0.250 0.250 0.250

Summary:
The calculation puts the calculated formation energy at -0.39 eV/atom. For the total magnetic moment, the calculation gives 0.00 μB/f.u.

***

No. 12
Density functional theory data (GGA-PBE) for an optimized crystal structure of Pm6BiTe3Ir2.

a = 4.326 Å, b = 9.006 Å, c = 9.954 Å
α = 105.49°, β = 102.55°, γ = 90.00°
Positions (direct):
Pm1 0.981 0.739 0.963
Te1 0.159 0.839 0.318
Pm2 0.677 0.564 0.355
Te2 0.841 0.161 0.682
Pm3 0.672 0.125 0.345
Bi1 0.500 0.000 0.000
Pm4 0.323 0.436 0.645
Ir1 0.170 0.340 0.341
Ir2 0.830 0.660 0.659
Pm5 0.019 0.261 0.037
Te3 0.500 0.500 0.000
Pm6 0.328 0.875 0.655

Summary:
The raw formation energy is -1.080 eV/atom. For the total magnetic moment, the calculation gives 0.00 μB/f.u.